Entry 1:
{
  "formula": "Tm3Zr",
  "functional": "PBE",
  "state": "optimized geometry",
  "cell": [[3.450, 0.000, 0.000], [0.000, 8.059, 1.087], [0.000, -0.258, 8.090]],
  "species": ["Tm", "Tm", "Tm", "Tm", "Tm", "Tm", "Zr", "Zr"],
  "fractional_positions": [[0.750, 0.177, 0.421], [0.750, 0.093, 0.829], [0.750, 0.661, 0.915], [0.250, 0.823, 0.579], [0.250, 0.907, 0.171], [0.250, 0.339, 0.085], [0.250, 0.421, 0.656], [0.750, 0.579, 0.344]],
  "space_group": "No. 11",
  "formation_energy_ev_per_atom": 0.038,
  "total_magnetization_mub_per_cell": 0.01,
  "dos_ef_per_ev_cell": 14.1
}

Entry 2:
{
  "formula": "Tm3Zr",
  "functional": "PBE",
  "state": "optimized geometry",
  "cell": [[-2.771, -1.407, 3.663], [-1.997, -3.354, -2.799], [3.377, -3.137, 1.350]],
  "species": ["Tm", "Tm", "Tm", "Zr"],
  "fractional_positions": [[0.000, 0.500, 0.500], [0.500, 0.000, 0.500], [0.500, 0.500, 0.000], [0.000, 0.000, 0.000]],
  "space_group": "No. 221",
  "formation_energy_ev_per_atom": 0.076,
  "total_magnetization_mub_per_cell": 0.00,
  "dos_ef_per_ev_cell": 6.0
}